Version one
The following is a PBE calculation of a geometry-optimized Ca2BeCl structure, from Alexandria via LeMat-Bulk.

Output
- calculated volume (Å³ per cell) = 101.0

Structure (extended XYZ):
```
4
Lattice="-3.191 -4.773 -2.183 -0.505 -6.115 -0.283 -2.775 0.046 3.956" Properties=species:S:1:pos:R:3 pbc="T T T"
Ca -4.473 -8.038 0.645
Ca -4.035 -10.856 -1.966
Be -1.312 -2.836 -0.149
Cl -3.585 -5.422 1.238
```


Version two
The following is a PBE calculation of a geometry-optimized Ca2BeCl structure, from Alexandria via LeMat-Bulk.

Output
- calculated volume (Å³ per cell) = 99.5

Structure (extended XYZ):
```
4
Lattice="0.000 3.678 3.678 3.678 0.000 3.678 3.678 3.678 0.000" Properties=species:S:1:pos:R:3 pbc="T T T"
Cl 3.678 3.678 3.678
Ca 1.839 1.839 1.839
Ca 5.517 5.517 5.517
Be 0.000 0.000 0.000
```


Stability, descending: version one, version two


Version one
The following is a PBE calculation of a geometry-optimized CaBeCl structure, from Alexandria via LeMat-Bulk.

Output
- calculated volume (Å³ per cell) = 82.3

Structure (extended XYZ):
```
3
Lattice="4.882 0.000 0.000 2.441 4.228 0.000 2.441 1.409 3.986" Properties=species:S:1:pos:R:3 pbc="T T T"
Ca 7.322 4.228 2.989
Be 4.882 2.818 1.993
Cl 0.000 0.000 0.000
```


Version two
The following is a PBE calculation of a geometry-optimized CaBeCl structure, from Alexandria via LeMat-Bulk.

Output
- calculated volume (Å³ per cell) = 82.8

Structure (extended XYZ):
```
3
Lattice="3.824 0.000 0.000 -1.912 3.312 0.000 0.000 0.000 6.535" Properties=species:S:1:pos:R:3 pbc="T T T"
Be 0.000 0.000 0.311
Ca 0.000 2.208 2.303
Cl 1.912 1.104 3.921
```


Stability, descending: version two, version one


Version one
The following is a PBE calculation of a geometry-optimized CaBeCl structure, from Alexandria via LeMat-Bulk.

Output
- calculated volume (Å³ per cell) = 77.9

Structure (extended XYZ):
```
3
Lattice="-2.365 3.288 2.566 -0.583 -0.607 4.720 2.375 2.795 3.088" Properties=species:S:1:pos:R:3 pbc="T T T"
Be -0.429 4.108 7.780
Cl -0.286 2.738 5.187
Ca 0.000 0.000 0.000
```


Version two
The following is a PBE calculation of a geometry-optimized CaBeCl structure, from Alexandria via LeMat-Bulk.

Output
- calculated volume (Å³ per cell) = 81.7

Structure (extended XYZ):
```
3
Lattice="-6.135 0.412 -3.642 -7.137 -0.109 -0.340 -0.916 3.358 0.251" Properties=species:S:1:pos:R:3 pbc="T T T"
Ca -4.921 2.368 -1.121
Be -12.753 0.431 -3.803
Cl -9.787 1.164 -2.788
```


Stability, descending: version two, version one


Version one
The following is a PBE calculation of a geometry-optimized Ca2Be2Cl structure, from Alexandria via LeMat-Bulk.

Output
- calculated volume (Å³ per cell) = 112.3

Structure (extended XYZ):
```
5
Lattice="-4.162 2.939 2.564 -3.890 -2.855 -3.041 -4.197 -2.358 2.235" Properties=species:S:1:pos:R:3 pbc="T T T"
Ca -6.192 0.311 2.280
Ca -6.057 -2.586 -0.522
Be -4.073 -0.618 0.442
Be -8.176 -1.656 1.316
Cl 0.000 0.000 0.000
```


Version two
The following is a PBE calculation of a geometry-optimized Ca2Be2Cl structure, from Alexandria via LeMat-Bulk.

Output
- calculated volume (Å³ per cell) = 105.3

Structure (extended XYZ):
```
5
Lattice="3.669 5.877 6.153 5.763 6.997 1.920 -6.493 -4.848 -4.495" Properties=species:S:1:pos:R:3 pbc="T T T"
Be 1.994 4.293 0.731
Be 0.946 3.733 2.847
Cl 0.000 0.000 0.000
Ca 3.624 4.946 3.101
Ca 5.809 7.928 4.971
```


Version three
The following is a PBE calculation of a geometry-optimized Ca2Be2Cl structure, from Alexandria via LeMat-Bulk.

Output
- calculated volume (Å³ per cell) = 230.8

Structure (extended XYZ):
```
10
Lattice="-1.055 -1.029 7.918 7.818 -1.757 0.813 0.717 3.443 0.543" Properties=species:S:1:pos:R:3 pbc="T T T"
Cl 0.000 0.000 0.000
Cl 3.381 -1.393 4.366
Be 6.705 -2.030 4.017
Be 3.622 -1.971 7.710
Be 0.058 -0.756 4.714
Be 3.141 -0.815 1.021
Ca 5.574 0.305 2.365
Ca 5.934 -0.410 6.417
Ca 1.546 1.066 2.858
Ca 1.906 0.352 6.909
```


Stability, descending: version two, version three, version one


Version one
The following is a PBE calculation of a geometry-optimized CaBeCl3 structure, from Alexandria via LeMat-Bulk.

Output
- calculated volume (Å³ per cell) = 98.8

Structure (extended XYZ):
```
5
Lattice="-2.537 -1.033 -3.725 0.430 -4.503 0.956 -3.841 0.178 2.567" Properties=species:S:1:pos:R:3 pbc="T T T"
Ca -2.974 -2.679 -0.101
Cl -1.268 -0.516 -1.862
Cl 0.215 -2.251 0.478
Cl -1.921 0.089 1.283
Be 0.000 0.000 0.000
```


Version two
The following is a PBE calculation of a geometry-optimized CaBeCl3 structure, from Alexandria via LeMat-Bulk.

Output
- calculated volume (Å³ per cell) = 150.9

Structure (extended XYZ):
```
5
Lattice="5.324 0.000 0.000 0.000 5.324 0.000 0.000 0.000 5.324" Properties=species:S:1:pos:R:3 pbc="T T T"
Be 2.662 2.662 2.662
Cl 2.662 0.000 0.000
Cl 0.000 2.662 0.000
Cl 0.000 0.000 2.662
Ca 0.000 0.000 0.000
```


Stability, descending: version one, version two


Version one
The following is a PBE calculation of a geometry-optimized CaBePCl2 structure, from Alexandria via LeMat-Bulk.

Output
- calculated volume (Å³ per cell) = 159.6

Structure (extended XYZ):
```
5
Lattice="-1.888 -4.811 -0.201 1.304 -0.719 4.953 -5.348 2.028 1.702" Properties=species:S:1:pos:R:3 pbc="T T T"
Cl -0.944 -2.405 -0.101
Cl 0.652 -0.359 2.476
P -2.674 1.014 0.851
Ca 0.000 0.000 0.000
Be -2.966 -1.751 3.227
```


Version two
The following is a PBE calculation of a geometry-optimized CaBePCl2 structure, from Alexandria via LeMat-Bulk.

Output
- calculated volume (Å³ per cell) = 98.7

Structure (extended XYZ):
```
5
Lattice="4.666 0.000 0.000 0.000 4.666 0.000 0.000 0.000 4.531" Properties=species:S:1:pos:R:3 pbc="T T T"
Cl 2.333 0.000 0.000
Cl 0.000 2.333 0.000
P 0.000 0.000 2.265
Ca 2.333 2.333 2.265
Be 0.000 0.000 0.000
```


Stability, descending: version two, version one


Version one
The following is a PBE calculation of a geometry-optimized CaBeS2Cl structure, from Alexandria via LeMat-Bulk.

Output
- calculated volume (Å³ per cell) = 146.4

Structure (extended XYZ):
```
5
Lattice="5.354 0.000 0.000 0.000 5.354 0.000 0.000 0.000 5.106" Properties=species:S:1:pos:R:3 pbc="T T T"
Be 2.677 2.677 2.553
Cl 0.000 0.000 2.553
S 0.000 2.677 0.000
S 2.677 0.000 0.000
Ca 0.000 0.000 0.000
```


Version two
The following is a PBE calculation of a geometry-optimized CaBeS2Cl structure, from Alexandria via LeMat-Bulk.

Output
- calculated volume (Å³ per cell) = 93.9

Structure (extended XYZ):
```
5
Lattice="-0.280 -0.045 4.312 0.135 -4.319 -0.037 5.018 0.154 0.328" Properties=species:S:1:pos:R:3 pbc="T T T"
Cl 2.509 0.077 0.164
Ca 2.436 -2.105 2.301
S 0.068 -2.159 -0.018
S -0.140 -0.023 2.156
Be 0.000 0.000 0.000
```


Stability, descending: version two, version one


Version one
The following is a PBE calculation of a geometry-optimized CaBe2Co structure, from Alexandria via LeMat-Bulk.

Output
- calculated volume (Å³ per cell) = 60.9

Structure (extended XYZ):
```
4
Lattice="-2.584 -0.319 -2.702 1.059 -0.610 -3.548 -0.719 -5.242 -1.294" Properties=species:S:1:pos:R:3 pbc="T T T"
Ca -1.683 -4.628 -5.658
Be -1.082 -2.142 -3.923
Be -1.565 -1.872 -6.099
Co -0.561 -1.543 -1.886
```


Version two
The following is a PBE calculation of a geometry-optimized CaBe2Co structure, from Alexandria via LeMat-Bulk.

Output
- calculated volume (Å³ per cell) = 61.2

Structure (extended XYZ):
```
4
Lattice="-0.977 3.467 -0.991 -2.597 1.838 1.958 2.411 3.655 3.343" Properties=species:S:1:pos:R:3 pbc="T T T"
Ca -0.588 4.486 2.155
Be -0.154 7.092 3.833
Be 2.368 3.630 3.306
Co -0.959 1.886 0.515
```


Stability, descending: version two, version one


Version one
The following is a PBE calculation of a geometry-optimized CaBe2Co structure, from Alexandria via LeMat-Bulk.

Output
- calculated volume (Å³ per cell) = 53.9

Structure (extended XYZ):
```
4
Lattice="-1.034 2.007 -3.881 -4.433 0.670 0.252 3.172 1.126 2.972" Properties=species:S:1:pos:R:3 pbc="T T T"
Co -0.298 2.236 -1.362
Ca -1.997 1.567 0.705
Be -2.734 1.339 -1.815
Be 0.000 0.000 0.000
```


Version two
The following is a PBE calculation of a geometry-optimized CaBe2Co structure, from Alexandria via LeMat-Bulk.

Output
- calculated volume (Å³ per cell) = 57.5

Structure (extended XYZ):
```
4
Lattice="-2.830 -3.584 2.318 -1.228 -4.074 -2.850 3.708 2.809 2.141" Properties=species:S:1:pos:R:3 pbc="T T T"
Be -0.214 -0.403 -0.028
Be -1.816 -3.426 -0.238
Ca -0.575 -2.302 2.097
Co 0.225 -2.547 -0.487
```


Version three
The following is a PBE calculation of a geometry-optimized CaBe2Co structure, from Alexandria via LeMat-Bulk.

Output
- calculated volume (Å³ per cell) = 55.7

Structure (extended XYZ):
```
4
Lattice="2.935 0.012 0.000 -0.012 2.935 0.000 0.000 0.000 6.461" Properties=species:S:1:pos:R:3 pbc="T T T"
Be 1.462 1.474 1.054
Be 0.000 0.000 6.336
Co 1.462 1.474 5.435
Ca 0.000 0.000 3.329
```


Version four
The following is a PBE calculation of a geometry-optimized CaBe2Co structure, from Alexandria via LeMat-Bulk.

Output
- calculated volume (Å³ per cell) = 57.6

Structure (extended XYZ):
```
4
Lattice="3.496 0.000 0.000 0.000 2.864 0.068 0.000 1.201 5.784" Properties=species:S:1:pos:R:3 pbc="T T T"
Ca 0.000 1.892 2.855
Co 1.748 3.178 5.195
Be 1.748 0.510 0.953
Be 0.000 1.719 5.560
```


Stability, descending: version four, version three, version two, version one


Version one
The following is a PBE calculation of a geometry-optimized CaBe2Co structure, from Alexandria via LeMat-Bulk.

Output
- calculated volume (Å³ per cell) = 55.6

Structure (extended XYZ):
```
4
Lattice="-2.823 1.235 2.973 -0.743 -4.100 0.985 3.999 1.527 0.086" Properties=species:S:1:pos:R:3 pbc="T T T"
Ca -1.783 -1.432 1.979
Be 0.000 0.000 0.000
Be 0.737 -2.003 1.525
Co -0.303 0.665 2.519
```


Version two
The following is a PBE calculation of a geometry-optimized CaBe2Co structure, from Alexandria via LeMat-Bulk.

Output
- calculated volume (Å³ per cell) = 53.8

Structure (extended XYZ):
```
4
Lattice="-0.932 -1.872 1.999 2.637 -1.185 0.119 1.647 4.131 4.638" Properties=species:S:1:pos:R:3 pbc="T T T"
Co 2.088 1.570 4.537
Be 0.968 2.429 2.727
Be 1.502 3.768 4.229
Ca 1.264 -0.496 2.219
```


Stability, descending: version two, version one


Version one
The following is a PBE calculation of a geometry-optimized CaBe2Co structure, from Alexandria via LeMat-Bulk.

Output
- calculated volume (Å³ per cell) = 57.5

Structure (extended XYZ):
```
4
Lattice="3.827 0.000 0.000 0.000 3.827 0.000 0.000 0.000 3.925" Properties=species:S:1:pos:R:3 pbc="T T T"
Be 1.913 1.913 0.000
Be 0.000 0.000 0.000
Ca 1.913 0.000 1.962
Co 0.000 1.913 1.962
```


Version two
The following is a PBE calculation of a geometry-optimized CaBe2Co structure, from Alexandria via LeMat-Bulk.

Output
- calculated volume (Å³ per cell) = 133.1

Structure (extended XYZ):
```
8
Lattice="-0.403 0.908 -4.126 -4.217 0.176 0.450 -1.845 7.751 -0.297" Properties=species:S:1:pos:R:3 pbc="T T T"
Be -3.449 2.842 -3.403
Be -2.061 6.176 -1.714
Be -2.264 6.630 -3.777
Be -1.341 2.754 -3.629
Ca -4.185 4.234 -0.843
Ca -2.310 0.542 -1.838
Co 0.000 0.000 0.000
Co -2.279 4.600 -3.131
```


Version three
The following is a PBE calculation of a geometry-optimized CaBe2Co structure, from Alexandria via LeMat-Bulk.

Output
- calculated volume (Å³ per cell) = 55.0

Structure (extended XYZ):
```
4
Lattice="-0.071 -3.714 2.101 -3.730 -1.762 1.094 -1.346 -3.540 -1.968" Properties=species:S:1:pos:R:3 pbc="T T T"
Co -2.573 -4.508 0.613
Be -3.860 -6.762 0.920
Be -1.287 -2.254 0.307
Ca 0.000 0.000 0.000
```


Version four
The following is a PBE calculation of a geometry-optimized CaBe2Co structure, from Alexandria via LeMat-Bulk.

Output
- calculated volume (Å³ per cell) = 55.9

Structure (extended XYZ):
```
4
Lattice="-0.710 1.804 -4.593 -4.787 -0.046 -1.391 3.396 1.790 3.181" Properties=species:S:1:pos:R:3 pbc="T T T"
Ca -2.724 0.871 -2.966
Be -0.296 2.321 -2.491
Be -0.030 0.009 -0.032
Co -1.799 1.224 -0.307
```


Stability, descending: version two, version four, version three, version one


Version one
The following is a PBE calculation of a geometry-optimized CaBe3Co structure, from Alexandria via LeMat-Bulk.

Output
- calculated volume (Å³ per cell) = 70.2

Structure (extended XYZ):
```
5
Lattice="4.125 0.000 0.000 0.000 4.125 0.000 0.000 0.000 4.125" Properties=species:S:1:pos:R:3 pbc="T T T"
Be 2.062 0.000 0.000
Be 0.000 0.000 2.062
Be 0.000 2.062 0.000
Co 0.000 0.000 0.000
Ca 2.062 2.062 2.062
```


Version two
The following is a PBE calculation of a geometry-optimized CaBe3Co structure, from Alexandria via LeMat-Bulk.

Output
- calculated volume (Å³ per cell) = 118.5

Structure (extended XYZ):
```
5
Lattice="4.912 0.000 0.000 0.000 4.912 0.000 0.000 0.000 4.912" Properties=species:S:1:pos:R:3 pbc="T T T"
Ca 0.000 0.000 0.000
Be 2.456 0.000 0.000
Be 0.000 0.000 2.456
Be 0.000 2.456 0.000
Co 2.456 2.456 2.456
```


Stability, descending: version one, version two